Computed, not measured: Cr2TeIr after structural relaxation at the PBE-GGA level of DFT. Values from VASP.

```
&SYSTEM
  ibrav = 0, nat = 4, ntyp = 3
/
ATOMIC_SPECIES
Te 127.60 Te.upf
Cr 52.00 Cr.upf
Ir 192.22 Ir.upf
CELL_PARAMETERS angstrom
4.816 0.004 -0.003
3.897 2.829 -0.003
1.517 0.493 4.787
ATOMIC_POSITIONS crystal
Te 0.250 0.250 0.250
Cr 0.500 0.500 0.586
Cr 0.000 0.000 0.914
Ir 0.750 0.750 0.750
```

Properties
The calculation puts the formation energy (no corrections) at 0.40 eV/atom. Its raw total energy is -29.643 eV per cell.

---

Computed, not measured: Dy2HoTh3S6 after structural relaxation at the PBE-GGA level of DFT. Values from VASP.

```
&SYSTEM
  ibrav = 0, nat = 12, ntyp = 4
/
ATOMIC_SPECIES
Dy 162.50 Dy.upf
S 32.06 S.upf
Th 232.04 Th.upf
Ho 164.93 Ho.upf
CELL_PARAMETERS angstrom
-5.061 2.247 3.823
-0.914 -5.410 -3.894
4.015 -2.944 5.078
ATOMIC_POSITIONS crystal
Dy 0.334 0.666 0.000
S 0.590 0.923 0.768
Th 0.500 0.500 0.500
Th 0.167 0.833 0.500
S 0.254 0.254 0.767
S 0.923 0.590 0.768
Ho 0.000 0.000 0.000
S 0.410 0.077 0.232
Th 0.833 0.167 0.500
S 0.077 0.410 0.232
Dy 0.666 0.334 0.000
S 0.746 0.746 0.233
```

Properties
The calculation puts the formation energy (no corrections) at -1.90 eV/atom. Its raw total energy is -83.637 eV per cell.

---

Computed, not measured: TbY3Tm4 after structural relaxation at the PBE-GGA level of DFT. Values from VASP.

```
&SYSTEM
  ibrav = 0, nat = 8, ntyp = 3
/
ATOMIC_SPECIES
Y 88.91 Y.upf
Tb 158.93 Tb.upf
Tm 168.93 Tm.upf
CELL_PARAMETERS angstrom
-1.130 -1.671 -2.803
3.574 -5.271 1.701
-9.900 -0.517 6.428
ATOMIC_POSITIONS crystal
Y 0.126 0.880 0.252
Y 0.000 0.500 0.000
Tb 0.500 0.000 0.000
Tm 0.261 0.756 0.522
Tm 0.739 0.244 0.478
Tm 0.125 0.367 0.251
Y 0.874 0.120 0.748
Tm 0.875 0.633 0.749
```

Properties
Its energy relative to the elements is 0.17 eV/atom. Its raw total energy is -40.528 eV per cell.

---

Computed, not measured: ScCo3Ni after structural relaxation at the PBE-GGA level of DFT. Values from VASP.

```
&SYSTEM
  ibrav = 0, nat = 5, ntyp = 3
/
ATOMIC_SPECIES
Co 58.93 Co.upf
Ni 58.69 Ni.upf
Sc 44.96 Sc.upf
CELL_PARAMETERS angstrom
4.310 0.000 0.000
0.000 4.310 0.000
0.000 0.000 4.310
ATOMIC_POSITIONS crystal
Co 0.000 0.500 0.000
Ni 0.500 0.500 0.500
Co 0.500 0.000 0.000
Co 0.000 0.000 0.500
Sc 0.000 0.000 0.000
```

Properties
Its energy relative to the elements is 1.49 eV/atom. Its raw total energy is -25.961 eV per cell.

---

Computed, not measured: LaAlP2 after structural relaxation at the PBE-GGA level of DFT. Values from VASP.

```
&SYSTEM
  ibrav = 0, nat = 8, ntyp = 3
/
ATOMIC_SPECIES
La 138.91 La.upf
P 30.97 P.upf
Al 26.98 Al.upf
CELL_PARAMETERS angstrom
-4.074 -5.044 -2.483
5.602 -3.388 -2.312
1.022 -6.065 0.936
ATOMIC_POSITIONS crystal
La 0.750 0.250 0.500
P 0.189 0.625 0.250
P 0.875 0.811 0.750
P 0.561 0.125 0.250
P 0.375 0.439 0.750
La 0.000 0.000 0.000
Al 0.250 0.750 0.500
Al 0.500 0.500 0.000
```

Properties
Its energy relative to the elements is -0.91 eV/atom. Its raw total energy is -46.257 eV per cell.

---

Computed, not measured: KAlAg2 after structural relaxation at the PBE-GGA level of DFT. Values from VASP.

```
&SYSTEM
  ibrav = 0, nat = 4, ntyp = 3
/
ATOMIC_SPECIES
Ag 107.87 Ag.upf
Al 26.98 Al.upf
K 39.10 K.upf
CELL_PARAMETERS angstrom
-1.582 3.726 2.529
-3.955 2.267 1.418
-0.753 -3.542 6.258
ATOMIC_POSITIONS crystal
Ag 0.022 0.022 0.916
Al 0.750 0.750 0.750
Ag 0.478 0.478 0.584
K 0.250 0.250 0.250
```

Properties
Its energy relative to the elements is 0.11 eV/atom. Its raw total energy is -10.089 eV per cell.

---

Computed, not measured: Y2TaRe after structural relaxation at the PBE-GGA level of DFT. Values from VASP.

```
&SYSTEM
  ibrav = 0, nat = 4, ntyp = 3
/
ATOMIC_SPECIES
Ta 180.95 Ta.upf
Y 88.91 Y.upf
Re 186.21 Re.upf
CELL_PARAMETERS angstrom
-2.013 -3.865 8.958
-4.129 -5.531 7.184
-1.078 -6.547 7.431
ATOMIC_POSITIONS crystal
Ta 0.750 0.750 0.750
Y 0.992 0.992 0.992
Re 0.250 0.250 0.250
Y 0.508 0.508 0.508
```

Properties
Its energy relative to the elements is 0.63 eV/atom. Its raw total energy is -34.723 eV per cell.

---

Computed, not measured: Ce4AsI5 after structural relaxation at the PBE-GGA level of DFT. Values from VASP.

```
&SYSTEM
  ibrav = 0, nat = 10, ntyp = 3
/
ATOMIC_SPECIES
As 74.92 As.upf
Ce 140.12 Ce.upf
I 126.90 I.upf
CELL_PARAMETERS angstrom
4.163 0.000 -0.906
-0.443 8.876 -2.035
-0.028 0.137 9.884
ATOMIC_POSITIONS crystal
As 0.500 0.000 0.000
Ce 0.001 0.783 0.002
I 0.167 0.338 0.334
I 0.833 0.662 0.666
I 0.829 0.186 0.658
Ce 0.999 0.217 0.998
I 0.500 0.500 0.000
Ce 0.654 0.071 0.307
Ce 0.346 0.929 0.693
I 0.171 0.814 0.342
```

Properties
The calculation puts the formation energy (no corrections) at -1.24 eV/atom. Its raw total energy is -48.585 eV per cell.

---

Computed, not measured: LaP2Ir after structural relaxation at the PBE-GGA level of DFT. Values from VASP.

```
&SYSTEM
  ibrav = 0, nat = 4, ntyp = 3
/
ATOMIC_SPECIES
P 30.97 P.upf
La 138.91 La.upf
Ir 192.22 Ir.upf
CELL_PARAMETERS angstrom
4.287 0.000 0.000
0.000 4.438 -0.003
0.000 0.244 4.419
ATOMIC_POSITIONS crystal
P 0.000 0.202 0.953
P 0.500 0.210 0.284
La 0.500 0.737 0.804
Ir 0.000 0.350 0.459
```

Properties
Its energy relative to the elements is -0.82 eV/atom. Its raw total energy is -27.904 eV per cell.

---

Computed, not measured: SrIr2C after structural relaxation at the PBE-GGA level of DFT. Values from VASP.

```
&SYSTEM
  ibrav = 0, nat = 8, ntyp = 3
/
ATOMIC_SPECIES
Sr 87.62 Sr.upf
C 12.01 C.upf
Ir 192.22 Ir.upf
CELL_PARAMETERS angstrom
-3.136 1.727 -3.717
0.944 -4.250 -2.771
-5.930 -4.126 -0.497
ATOMIC_POSITIONS crystal
Sr 0.750 0.250 0.500
C 0.500 0.500 0.000
Ir 0.375 0.125 0.250
Ir 0.375 0.625 0.250
C 0.250 0.750 0.500
Ir 0.375 0.625 0.750
Sr 0.000 0.000 0.000
Ir 0.875 0.625 0.750
```

Properties
Its energy relative to the elements is 0.23 eV/atom. Its raw total energy is -55.454 eV per cell.

---

Computed, not measured: NaPm4Pt5 after structural relaxation at the PBE-GGA level of DFT. Values from VASP.

```
&SYSTEM
  ibrav = 0, nat = 10, ntyp = 3
/
ATOMIC_SPECIES
Pt 195.08 Pt.upf
Pm 145.00 Pm.upf
Na 22.99 Na.upf
CELL_PARAMETERS angstrom
3.576 0.000 0.000
0.000 3.576 0.000
0.000 0.000 17.492
ATOMIC_POSITIONS crystal
Pt 0.500 0.500 0.500
Pt 0.500 0.500 0.899
Pt 0.500 0.500 0.296
Pt 0.500 0.500 0.101
Pm 0.000 0.000 0.812
Pt 0.500 0.500 0.704
Pm 0.000 0.000 0.397
Na 0.000 0.000 0.000
Pm 0.000 0.000 0.188
Pm 0.000 0.000 0.603
```

Properties
Its energy relative to the elements is -0.93 eV/atom. Its raw total energy is -59.842 eV per cell.

---

Computed, not measured: Be2B after structural relaxation at the PBE-GGA level of DFT. Values from VASP.

```
&SYSTEM
  ibrav = 0, nat = 12, ntyp = 2
/
ATOMIC_SPECIES
Be 9.01 Be.upf
B 10.81 B.upf
CELL_PARAMETERS angstrom
4.828 0.000 0.001
0.000 3.168 0.000
-3.026 0.000 6.068
ATOMIC_POSITIONS crystal
Be 0.936 0.000 0.135
Be 0.282 0.500 0.158
Be 0.282 0.000 0.657
B 0.666 0.000 0.619
Be 0.936 0.500 0.635
B 0.334 0.000 0.382
Be 0.718 0.000 0.343
Be 0.064 0.500 0.365
Be 0.718 0.500 0.843
B 0.334 0.500 0.882
Be 0.064 0.000 0.865
B 0.666 0.500 0.119
```

Properties
Its energy relative to the elements is 0.09 eV/atom. Its raw total energy is -55.406 eV per cell.

---

Computed, not measured: La2AlZn2 after structural relaxation at the PBE-GGA level of DFT. Values from VASP.

```
&SYSTEM
  ibrav = 0, nat = 10, ntyp = 3
/
ATOMIC_SPECIES
Zn 65.41 Zn.upf
La 138.91 La.upf
Al 26.98 Al.upf
CELL_PARAMETERS angstrom
-2.086 -1.355 3.950
3.823 -2.034 4.080
0.031 8.327 5.630
ATOMIC_POSITIONS crystal
Zn 0.004 0.877 0.115
La 0.700 0.708 0.892
Al 0.227 0.895 0.651
La 0.520 0.297 0.664
Zn 0.141 0.274 0.444
La 0.300 0.292 0.108
Al 0.773 0.105 0.349
Zn 0.996 0.123 0.885
La 0.480 0.703 0.336
Zn 0.859 0.726 0.556
```

Properties
Its energy relative to the elements is -0.36 eV/atom. Its raw total energy is -35.887 eV per cell.

---

Computed, not measured: PrMg3As3 after structural relaxation at the PBE-GGA level of DFT. Values from VASP.

```
&SYSTEM
  ibrav = 0, nat = 14, ntyp = 3
/
ATOMIC_SPECIES
As 74.92 As.upf
Mg 24.30 Mg.upf
Pr 140.91 Pr.upf
CELL_PARAMETERS angstrom
6.831 0.000 3.478
2.530 6.345 3.478
0.045 0.030 8.360
ATOMIC_POSITIONS crystal
As 0.737 0.435 0.748
Mg 0.873 0.569 0.361
Mg 0.803 0.127 0.639
Pr 0.333 0.333 0.000
Mg 0.569 0.197 0.361
Mg 0.431 0.803 0.639
Mg 0.127 0.431 0.639
As 0.920 0.263 0.252
Mg 0.197 0.873 0.361
As 0.080 0.737 0.748
As 0.565 0.920 0.252
Pr 0.667 0.667 0.000
As 0.435 0.080 0.748
As 0.263 0.565 0.252
```

Properties
Its energy relative to the elements is -0.84 eV/atom. Its raw total energy is -58.834 eV per cell.

---

Computed, not measured: Tb5PmSm2 after structural relaxation at the PBE-GGA level of DFT. Values from VASP.

```
&SYSTEM
  ibrav = 0, nat = 16, ntyp = 3
/
ATOMIC_SPECIES
Sm 150.36 Sm.upf
Tb 158.93 Tb.upf
Pm 145.00 Pm.upf
CELL_PARAMETERS angstrom
9.148 0.000 -3.913
-1.002 5.995 -2.341
-0.806 -1.729 10.765
ATOMIC_POSITIONS crystal
Sm 0.824 0.538 0.155
Tb 0.508 0.554 0.197
Tb 0.892 0.626 0.605
Pm 0.500 0.500 0.500
Sm 0.176 0.462 0.845
Tb 0.492 0.446 0.803
Tb 0.689 0.054 0.197
Tb 0.943 0.750 0.000
Tb 0.108 0.374 0.395
Tb 0.057 0.250 0.000
Tb 0.713 0.126 0.605
Tb 0.287 0.874 0.395
Tb 0.311 0.946 0.803
Sm 0.669 0.962 0.845
Sm 0.331 0.038 0.155
Pm 0.000 0.000 0.500
```

Properties
Its energy relative to the elements is 0.16 eV/atom. Its raw total energy is -72.043 eV per cell.

---

Computed, not measured: Ho3Ga2Os after structural relaxation at the PBE-GGA level of DFT. Values from VASP.

```
&SYSTEM
  ibrav = 0, nat = 24, ntyp = 3
/
ATOMIC_SPECIES
Ho 164.93 Ho.upf
Ga 69.72 Ga.upf
Os 190.23 Os.upf
CELL_PARAMETERS angstrom
4.269 0.000 0.000
0.000 11.024 0.000
0.000 0.000 11.890
ATOMIC_POSITIONS crystal
Ho 0.250 0.445 0.381
Ho 0.250 0.793 0.734
Ho 0.250 0.707 0.234
Ho 0.750 0.555 0.619
Ga 0.750 0.505 0.195
Os 0.750 0.870 0.881
Ho 0.750 0.881 0.448
Os 0.250 0.130 0.119
Ga 0.250 0.495 0.805
Os 0.250 0.370 0.619
Ga 0.250 0.005 0.305
Ga 0.750 0.995 0.695
Ho 0.250 0.381 0.052
Ho 0.750 0.293 0.766
Ho 0.750 0.945 0.119
Ho 0.250 0.055 0.881
Ga 0.250 0.697 0.492
Ga 0.750 0.303 0.508
Ga 0.750 0.197 0.008
Os 0.750 0.630 0.381
Ho 0.750 0.207 0.266
Ho 0.750 0.619 0.948
Ho 0.250 0.119 0.552
Ga 0.250 0.803 0.992
```

Properties
Its energy relative to the elements is -0.47 eV/atom. Its raw total energy is -135.455 eV per cell.

---

Computed, not measured: MgZrAu2 after structural relaxation at the PBE-GGA level of DFT. Values from VASP.

```
&SYSTEM
  ibrav = 0, nat = 4, ntyp = 3
/
ATOMIC_SPECIES
Au 196.97 Au.upf
Zr 91.22 Zr.upf
Mg 24.30 Mg.upf
CELL_PARAMETERS angstrom
-0.955 -2.360 -2.538
-0.380 -2.546 2.510
-5.870 1.593 0.726
ATOMIC_POSITIONS crystal
Au 0.500 0.500 0.280
Zr 0.500 0.500 0.777
Au 0.000 0.000 0.988
Mg 0.000 0.000 0.455
```

Properties
Its energy relative to the elements is -0.39 eV/atom. Its raw total energy is -18.259 eV per cell.

---

Computed, not measured: Ca8Sn2Hg after structural relaxation at the PBE-GGA level of DFT. Values from VASP.

```
&SYSTEM
  ibrav = 0, nat = 11, ntyp = 3
/
ATOMIC_SPECIES
Ca 40.08 Ca.upf
Hg 200.59 Hg.upf
Sn 118.71 Sn.upf
CELL_PARAMETERS angstrom
-1.710 1.109 4.967
0.531 -7.257 1.803
9.164 3.704 -0.575
ATOMIC_POSITIONS crystal
Ca 0.974 0.214 0.949
Ca 0.597 0.440 0.194
Ca 0.201 0.290 0.403
Ca 0.403 0.560 0.806
Ca 0.799 0.710 0.597
Ca 0.659 0.949 0.319
Hg 0.500 0.000 0.000
Sn 0.814 0.298 0.629
Sn 0.186 0.702 0.371
Ca 0.341 0.051 0.681
Ca 0.026 0.786 0.051
```

Properties
Its energy relative to the elements is -0.43 eV/atom. Its raw total energy is -29.071 eV per cell.

---

Computed, not measured: Ti2NbAlO after structural relaxation at the PBE-GGA level of DFT. Values from VASP.

```
&SYSTEM
  ibrav = 0, nat = 5, ntyp = 4
/
ATOMIC_SPECIES
Nb 92.91 Nb.upf
Al 26.98 Al.upf
O 16.00 O.upf
Ti 47.87 Ti.upf
CELL_PARAMETERS angstrom
4.054 0.000 0.000
0.000 4.054 0.000
0.000 0.000 4.407
ATOMIC_POSITIONS crystal
Nb 0.000 0.000 0.500
Al 0.500 0.500 0.500
O 0.000 0.000 0.000
Ti 0.500 0.000 0.000
Ti 0.000 0.500 0.000
```

Properties
The calculation puts the formation energy (no corrections) at -1.06 eV/atom. Its raw total energy is -39.879 eV per cell.

---

Computed, not measured: BiAsBrO4 after structural relaxation at the PBE-GGA level of DFT. Values from VASP.

```
&SYSTEM
  ibrav = 0, nat = 14, ntyp = 4
/
ATOMIC_SPECIES
Br 79.90 Br.upf
O 16.00 O.upf
Bi 208.98 Bi.upf
As 74.92 As.upf
CELL_PARAMETERS angstrom
6.647 0.623 -0.401
2.789 6.065 -0.401
1.502 1.065 6.635
ATOMIC_POSITIONS crystal
Br 0.982 0.982 0.670
O 0.524 0.128 0.123
Br 0.018 0.018 0.330
Bi 0.706 0.706 0.174
As 0.635 0.635 0.736
Bi 0.294 0.294 0.826
O 0.488 0.488 0.735
O 0.283 0.283 0.498
As 0.365 0.365 0.264
O 0.128 0.524 0.123
O 0.872 0.476 0.877
O 0.476 0.872 0.877
O 0.512 0.512 0.265
O 0.717 0.717 0.502
```

Properties
The calculation puts the formation energy (no corrections) at -1.01 eV/atom. Its raw total energy is -74.184 eV per cell.

---

Computed, not measured: AcGdTm2 after structural relaxation at the PBE-GGA level of DFT. Values from VASP.

```
&SYSTEM
  ibrav = 0, nat = 4, ntyp = 3
/
ATOMIC_SPECIES
Tm 168.93 Tm.upf
Ac 227.00 Ac.upf
Gd 157.25 Gd.upf
CELL_PARAMETERS angstrom
-5.284 -1.799 1.551
-0.712 -5.284 2.266
-1.328 -0.592 5.607
ATOMIC_POSITIONS crystal
Tm 0.750 0.750 0.750
Ac 0.000 0.000 0.000
Gd 0.500 0.500 0.500
Tm 0.250 0.250 0.250
```

Properties
Its energy relative to the elements is 0.10 eV/atom. Its raw total energy is -26.728 eV per cell.

---

Computed, not measured: CoSn2HgBi after structural relaxation at the PBE-GGA level of DFT. Values from VASP.

```
&SYSTEM
  ibrav = 0, nat = 5, ntyp = 4
/
ATOMIC_SPECIES
Sn 118.71 Sn.upf
Bi 208.98 Bi.upf
Hg 200.59 Hg.upf
Co 58.93 Co.upf
CELL_PARAMETERS angstrom
-4.891 0.088 0.622
0.613 -0.371 4.878
0.144 5.289 0.384
ATOMIC_POSITIONS crystal
Sn 0.000 0.500 0.000
Bi 0.000 0.000 0.500
Hg 0.500 0.500 0.500
Co 0.000 0.000 0.000
Sn 0.500 0.000 0.000
```

Properties
Its energy relative to the elements is 0.14 eV/atom. Its raw total energy is -18.586 eV per cell.